First-principles (PBE) data for an optimized crystal structure of RbAc2Si, as listed in the Alexandria database.

The space group is R-3m (No. 166, hexagonal axes) and the conventional cell measures 4.4084, 4.4084 and 37.3628 Å, with angles of 90.00, 90.00 and 120.00 degrees. The distinct sites, in fractional coordinates, are Rb at (0.0000, 0.0000, 0.0000), Ac at (0.0000, 0.0000, 0.1200) and Si at (0.0000, 0.0000, 0.5000).

Its crystal system is trigonal. The calculation puts the final energy at -3.754 eV per atom. Its uncorrected formation energy is -0.102 eV per atom.